Entry 1:
{"formula": "NdCu4Pt", "functional": "PBE", "state": "relaxed", "total_magnetization_mub_per_fu": 0.00, "delta_e_f_ev_per_atom": -0.3366, "final_energy_ev_per_atom": -4.869, "sg": "F-43m", "cell": [[5.0633, 0.0000, 0.0000], [2.5316, 4.3849, 0.0000], [2.5316, 1.4616, 4.1341]], "species": ["Cu", "Cu", "Cu", "Cu", "Pt", "Nd"], "fractional_positions": [[0.6262, 0.6262, 0.6262], [0.6262, 0.1214, 0.6262], [0.6262, 0.6262, 0.1214], [0.1214, 0.6262, 0.6262], [0.0000, 0.0000, 0.0000], [0.2500, 0.2500, 0.2500]]}

Entry 2:
{"formula": "ReSbW3", "functional": "PBE", "state": "relaxed", "total_magnetization_mub_per_fu": 0.00, "e_form_raw_mev_per_atom": 1917, "final_energy_ev_per_atom": -9.169, "polymorph_energy_mev_per_atom": 0, "sg": "Pm-3m", "cell": [[-4.2201, 1.1087, 2.0170], [1.9890, -0.3633, 4.3611], [1.1583, 4.6632, -0.1398]], "species": ["Re", "W", "W", "Sb", "W"], "fractional_positions": [[0.0000, 0.0000, 0.0000], [0.0000, 0.0000, 0.5000], [0.5000, 0.0000, 0.0000], [0.5000, 0.5000, 0.5000], [0.0000, 0.5000, 0.0000]]}

Entry 3:
{"formula": "CdWSe2", "functional": "PBE", "state": "relaxed", "total_magnetization_mub_per_fu": 0.00, "e_form_raw_mev_per_atom": 131, "final_energy_ev_per_atom": -5.079, "sg": "Immm", "cell": [[-5.4336, -3.7007, 1.7115], [-0.4610, -6.7629, 0.4461], [2.4451, 6.0953, 1.7370]], "species": ["Se", "W", "Cd", "Se"], "fractional_positions": [[0.0838, 0.0838, 0.0000], [0.2500, 0.7500, 0.5000], [0.7500, 0.2500, 0.5000], [0.4162, 0.4162, 0.0000]]}

Entry 4:
{"formula": "MgMnRu2", "functional": "PBE", "state": "relaxed", "total_magnetization_mub_per_fu": 3.00, "delta_e_f_ev_per_atom": 0.1828, "final_energy_ev_per_atom": -7.146, "sg": "Cmmm", "cell": [[2.7309, 0.0352, 0.0000], [-1.1184, 2.4916, 0.0000], [0.0000, 0.0000, 8.5236]], "species": ["Ru", "Ru", "Mg", "Mn"], "fractional_positions": [[0.0000, 0.0000, 0.9843], [0.0000, 0.0000, 0.5157], [0.5000, 0.5000, 0.2500], [0.5000, 0.5000, 0.7500]]}

Entry 5:
{"formula": "TeP4", "functional": "PBE", "state": "relaxed", "total_magnetization_mub_per_fu": 0.00, "e_form_raw_mev_per_atom": 1182, "final_energy_ev_per_atom": -3.774, "polymorph_energy_mev_per_atom": 779, "sg": "Im-3m", "cell": [[-3.0603, 3.0603, 3.0603], [3.0603, -3.0603, 3.0603], [3.0603, 3.0603, -3.0603]], "species": ["Te", "P", "P", "P", "P"], "fractional_positions": [[0.0000, 0.0000, 0.0000], [0.0000, 0.5000, 0.0000], [0.0000, 0.0000, 0.5000], [0.5000, 0.5000, 0.5000], [0.5000, 0.0000, 0.0000]]}

Entry 6:
{"formula": "RbZn2Ga", "functional": "PBE", "state": "relaxed", "total_magnetization_mub_per_fu": 0.00, "delta_e_f_ev_per_atom": -0.0295, "final_energy_ev_per_atom": -1.665, "sg": "Cm", "cell": [[4.1788, 0.0027, 1.4954], [1.8203, 3.7615, 1.4954], [-0.1776, -0.1114, 7.0071]], "species": ["Zn", "Ga", "Rb", "Zn"], "fractional_positions": [[0.9916, 0.9916, 0.0259], [0.6931, 0.6931, 0.9203], [0.5004, 0.5004, 0.4975], [0.3148, 0.3148, 0.0563]]}

Entry 7:
{"formula": "SrTcP2Pd", "functional": "PBE", "state": "relaxed", "total_magnetization_mub_per_fu": 0.00, "delta_e_f_ev_per_atom": -0.8016, "final_energy_ev_per_atom": -6.414, "sg": "I-4m2", "cell": [[-3.2657, 1.2731, 1.9730], [-0.2931, -3.5743, 1.8212], [5.2442, 3.1359, 2.5568]], "species": ["Pd", "Tc", "Sr", "P", "P"], "fractional_positions": [[0.2500, 0.7500, 0.5000], [0.7500, 0.2500, 0.5000], [0.0000, 0.0000, 0.0000], [0.3579, 0.3579, 0.7157], [0.6421, 0.6421, 0.2843]]}

Entry 8:
{"formula": "PmThHgAu", "functional": "PBE", "state": "relaxed", "total_magnetization_mub_per_fu": 0.00, "delta_e_f_ev_per_atom": -0.4962, "final_energy_ev_per_atom": -4.434, "polymorph_energy_mev_per_atom": 0, "sg": "P4mm", "cell": [[3.7284, 0.0000, 0.0000], [0.0000, 3.7284, 0.0000], [0.0000, 0.0000, 7.6506]], "species": ["Hg", "Pm", "Th", "Au"], "fractional_positions": [[0.0000, 0.0000, 0.8512], [0.5000, 0.5000, 0.5956], [0.5000, 0.5000, 0.1184], [0.0000, 0.0000, 0.3627]]}

Entry 9:
{"formula": "UNiAgSe3", "functional": "PBE", "state": "relaxed", "total_magnetization_mub_per_fu": 1.26, "e_form_raw_mev_per_atom": -598, "final_energy_ev_per_atom": -5.660, "sg": "P2_1/m", "cell": [[3.9812, 0.0000, 0.0000], [0.0000, 7.4981, 0.0834], [0.0000, -1.9200, 9.0910]], "species": ["Ag", "Ag", "Ni", "Se", "Se", "Se", "Se", "Se", "Se", "Ni", "U", "U"], "fractional_positions": [[0.7500, 0.8344, 0.7012], [0.2500, 0.1656, 0.2988], [0.2500, 0.0858, 0.5845], [0.2500, 0.6007, 0.8551], [0.7500, 0.2469, 0.5267], [0.2500, 0.0750, 0.8476], [0.7500, 0.9250, 0.1524], [0.7500, 0.3993, 0.1449], [0.2500, 0.7531, 0.4733], [0.7500, 0.9142, 0.4155], [0.7500, 0.3248, 0.8260], [0.2500, 0.6752, 0.1740]]}

Entry 10:
{"formula": "PmHoLuSn", "functional": "PBE", "state": "relaxed", "total_magnetization_mub_per_fu": 0.90, "delta_e_f_ev_per_atom": -0.1810, "final_energy_ev_per_atom": -4.644, "sg": "F-43m", "cell": [[-1.3021, 3.9453, 3.4436], [-0.2824, -1.0212, 5.2912], [3.7335, 2.0085, 3.3386]], "species": ["Sn", "Lu", "Pm", "Ho"], "fractional_positions": [[0.2500, 0.2500, 0.2500], [0.5000, 0.5000, 0.5000], [0.7500, 0.7500, 0.7500], [0.0000, 0.0000, 0.0000]]}

Entry 11:
{"formula": "TaGaI2", "functional": "PBE", "state": "relaxed", "total_magnetization_mub_per_fu": 0.00, "e_form_raw_mev_per_atom": -49, "final_energy_ev_per_atom": -4.544, "polymorph_energy_mev_per_atom": 40, "sg": "P1", "cell": [[3.6021, -0.0001, 0.0000], [-1.4474, 6.5963, -0.0002], [-1.5867, -3.0623, 10.1591]], "species": ["Ta", "I", "Ta", "Ga", "I", "I", "I", "Ga"], "fractional_positions": [[0.2059, 0.3459, 0.7091], [0.3098, 0.0713, 0.2547], [0.8813, 0.6766, 0.6460], [0.9587, 0.2487, 0.4572], [0.8120, 0.3339, 0.9210], [0.7610, 0.6407, 0.3833], [0.5080, 0.7758, 0.8593], [0.5101, 0.0020, 0.6288]]}

Entry 12:
{"formula": "Nd6Si2SbTe3", "functional": "PBE", "state": "relaxed", "total_magnetization_mub_per_fu": 0.00, "e_form_raw_mev_per_atom": -1208, "final_energy_ev_per_atom": -5.625, "sg": "C2/m", "cell": [[-1.2968, 1.1886, -4.0453], [-6.7524, -5.8897, 0.4341], [-3.1353, 7.5926, 5.6411]], "species": ["Si", "Te", "Nd", "Nd", "Te", "Si", "Nd", "Te", "Sb", "Nd", "Nd", "Nd"], "fractional_positions": [[0.8321, 0.6649, 0.6642], [0.1635, 0.8335, 0.3269], [0.0102, 0.2510, 0.0204], [0.6677, 0.1070, 0.3354], [0.8366, 0.1665, 0.6731], [0.1679, 0.3351, 0.3358], [0.6731, 0.5687, 0.3463], [0.5000, 0.5000, 0.0000], [0.5000, 0.0000, 0.0000], [0.3269, 0.4313, 0.6537], [0.9898, 0.7490, 0.9796], [0.3323, 0.8930, 0.6646]]}